Crystalline Ba2AlSn3O7 at its relaxed geometry, computed with PBE-GGA.

Values from the calculation:
E_form (uncorrected) ... -1.567 eV per atom
Total magnetic moment ... 0.0 Bohr magnetons per cell
DOS at the Fermi energy ... 0.160 states/eV per atom

Geometry as POSCAR:
```
Ba2AlSn3O7
1.0
4.1475 0.0000 0.0000
0.0000 4.3827 0.0000
0.0000 0.0000 11.5586
Ba Al Sn O
2 1 3 7
direct
0.0000 0.0000 0.1895 Ba
0.0000 0.0000 0.8105 Ba
0.0000 0.0000 0.5000 Al
0.5000 0.5000 0.0000 Sn
0.5000 0.5000 0.3774 Sn
0.5000 0.5000 0.6226 Sn
0.0000 0.5000 0.3693 O
0.0000 0.5000 0.6307 O
0.5000 0.0000 0.0000 O
0.5000 0.0000 0.3806 O
0.5000 0.0000 0.6194 O
0.5000 0.5000 0.1969 O
0.5000 0.5000 0.8031 O
```